VASP calculation (GGA+U) on a relaxed VAgMo2O8 crystal.

Geometry as CIF:
```
data_VAgMo2O8
_chemical_formula_sum 'V1 Ag1 Mo2 O8'
_symmetry_space_group_name_H-M 'P 1'
_symmetry_Int_Tables_number 1
_symmetry_space_group_name_Hall 'P 1'
_cell_length_a 5.7926
_cell_length_b 5.7926
_cell_length_c 6.4786
_cell_angle_alpha 90.00
_cell_angle_beta 90.00
_cell_angle_gamma 120.00
loop_
_atom_site_label
_atom_site_type_symbol
_atom_site_fract_x
_atom_site_fract_y
_atom_site_fract_z
_atom_site_occupancy
V1 V 0.0000 0.0000 0.5000 1
Ag1 Ag 0.0000 0.0000 0.0000 1
Mo1 Mo 0.6667 0.3333 0.2265 1
Mo2 Mo 0.3333 0.6667 0.7735 1
O1 O 0.3333 0.6667 0.0427 1
O2 O 0.3223 0.1613 0.3155 1
O3 O 0.8387 0.1610 0.3155 1
O4 O 0.6667 0.3333 0.9573 1
O5 O 0.1613 0.8390 0.6845 1
O6 O 0.6777 0.8387 0.6845 1
O7 O 0.1610 0.3223 0.6845 1
O8 O 0.8390 0.6777 0.3155 1
```



VASP calculation (GGA+U) on a relaxed YAgMo2O8 crystal.

Geometry as CIF:
```
data_YAgMo2O8
_chemical_formula_sum 'Y1 Ag1 Mo2 O8'
_symmetry_space_group_name_H-M 'P 1'
_symmetry_Int_Tables_number 1
_symmetry_space_group_name_Hall 'P 1'
_cell_length_a 6.2320
_cell_length_b 6.2320
_cell_length_c 6.2320
_cell_angle_alpha 106.33
_cell_angle_beta 106.33
_cell_angle_gamma 115.95
loop_
_atom_site_label
_atom_site_type_symbol
_atom_site_fract_x
_atom_site_fract_y
_atom_site_fract_z
_atom_site_occupancy
Y1 Y 0.2500 0.7500 0.5000 1
Ag1 Ag 0.0000 0.0000 0.0000 1
Mo1 Mo 0.7500 0.2500 0.5000 1
Mo2 Mo 0.5000 0.5000 0.0000 1
O1 O 0.3892 0.0717 0.3174 1
O2 O 0.3488 0.5490 0.2002 1
O3 O 0.3488 0.1487 0.7998 1
O4 O 0.7543 0.0717 0.6826 1
O5 O 0.8513 0.6512 0.2002 1
O6 O 0.9283 0.2457 0.3174 1
O7 O 0.9283 0.6108 0.6826 1
O8 O 0.4510 0.6512 0.7998 1
```



VASP calculation (GGA+U) on a relaxed YbAgMo2O8 crystal.

Geometry as CIF:
```
data_YbAgMo2O8
_chemical_formula_sum 'Yb1 Ag1 Mo2 O8'
_symmetry_space_group_name_H-M 'P 1'
_symmetry_Int_Tables_number 1
_symmetry_space_group_name_Hall 'P 1'
_cell_length_a 6.8597
_cell_length_b 6.8597
_cell_length_c 6.8597
_cell_angle_alpha 134.64
_cell_angle_beta 134.64
_cell_angle_gamma 66.09
loop_
_atom_site_label
_atom_site_type_symbol
_atom_site_fract_x
_atom_site_fract_y
_atom_site_fract_z
_atom_site_occupancy
Yb1 Yb 0.5000 0.5000 0.0000 1
Ag1 Ag 0.7500 0.2500 0.5000 1
Mo1 Mo 0.2500 0.7500 0.5000 1
Mo2 Mo 0.0000 0.0000 0.0000 1
O1 O 0.7551 0.6753 0.5952 1
O2 O 0.0801 0.1599 0.4048 1
O3 O 0.8401 0.2449 0.9202 1
O4 O 0.3247 0.9199 0.0798 1
O5 O 0.1920 0.5953 0.1105 1
O6 O 0.4849 0.0815 0.8895 1
O7 O 0.9185 0.8080 0.4033 1
O8 O 0.4047 0.5151 0.5967 1
```



VASP calculation (GGA+U) on a relaxed ZnAgMo2O8 crystal.

Geometry as CIF:
```
data_ZnAgMo2O8
_chemical_formula_sum 'Zn1 Ag1 Mo2 O8'
_symmetry_space_group_name_H-M 'P 1'
_symmetry_Int_Tables_number 1
_symmetry_space_group_name_Hall 'P 1'
_cell_length_a 6.0049
_cell_length_b 6.0049
_cell_length_c 6.0049
_cell_angle_alpha 109.97
_cell_angle_beta 109.97
_cell_angle_gamma 108.49
loop_
_atom_site_label
_atom_site_type_symbol
_atom_site_fract_x
_atom_site_fract_y
_atom_site_fract_z
_atom_site_occupancy
Zn1 Zn 0.2500 0.7500 0.5000 1
Ag1 Ag 0.0000 0.0000 0.0000 1
Mo1 Mo 0.7500 0.2500 0.5000 1
Mo2 Mo 0.5000 0.5000 0.0000 1
O1 O 0.3879 0.0918 0.2961 1
O2 O 0.3532 0.5687 0.2155 1
O3 O 0.3532 0.1377 0.7845 1
O4 O 0.7957 0.0918 0.7039 1
O5 O 0.8623 0.6468 0.2155 1
O6 O 0.9082 0.2043 0.2961 1
O7 O 0.9082 0.6121 0.7039 1
O8 O 0.4313 0.6468 0.7845 1
```



VASP calculation (GGA+U) on a relaxed Zn2AgMoO crystal.

Geometry as CIF:
```
data_Zn2AgMoO
_chemical_formula_sum 'Zn2 Ag1 Mo1 O1'
_symmetry_space_group_name_H-M 'P 1'
_symmetry_Int_Tables_number 1
_symmetry_space_group_name_Hall 'P 1'
_cell_length_a 5.0307
_cell_length_b 4.0363
_cell_length_c 5.0307
_cell_angle_alpha 90.00
_cell_angle_beta 90.00
_cell_angle_gamma 90.00
loop_
_atom_site_label
_atom_site_type_symbol
_atom_site_fract_x
_atom_site_fract_y
_atom_site_fract_z
_atom_site_occupancy
O1 O 0.0000 0.5000 0.0000 1
Mo1 Mo 0.5000 0.5000 0.5000 1
Zn1 Zn 0.0000 0.0000 0.5000 1
Zn2 Zn 0.5000 0.0000 0.0000 1
Ag1 Ag 0.0000 0.0000 0.0000 1
```



VASP calculation (GGA+U) on a relaxed ZrAgMoO6 crystal.

Geometry as CIF:
```
data_ZrAgMoO6
_chemical_formula_sum 'Zr1 Ag1 Mo1 O6'
_symmetry_space_group_name_H-M 'P 1'
_symmetry_Int_Tables_number 1
_symmetry_space_group_name_Hall 'P 1'
_cell_length_a 5.3351
_cell_length_b 5.7331
_cell_length_c 5.0100
_cell_angle_alpha 78.26
_cell_angle_beta 83.71
_cell_angle_gamma 57.49
loop_
_atom_site_label
_atom_site_type_symbol
_atom_site_fract_x
_atom_site_fract_y
_atom_site_fract_z
_atom_site_occupancy
Zr1 Zr 0.6502 0.6749 0.4996 1
Ag1 Ag 0.9903 0.0048 0.0000 1
Mo1 Mo 0.3272 0.3364 0.5003 1
O1 O 0.0267 0.4210 0.2711 1
O2 O 0.3473 0.9944 0.7196 1
O3 O 0.6423 0.3185 0.7069 1
O4 O 0.0264 0.5524 0.7290 1
O5 O 0.3470 0.6585 0.2805 1
O6 O 0.6423 0.0391 0.2930 1
```



These records have VASP energy values of -6.802 -7.092 -6.541 -5.980 -2.780 -7.066 eV/atom, in the order they appear.